# Zn5GaAg4

An optimized crystal structure of Zn5GaAg4 (PBE, Alexandria).

Lattice parameters (Å, degrees): 6.665 6.665 6.665 141.79 103.66 88.75
Fractional positions:
Zn1 0.000 0.000 0.000
Zn2 0.033 0.816 0.217
Zn3 0.401 0.184 0.217
Zn4 0.599 0.816 0.783
Zn5 0.967 0.184 0.783
Ga1 0.500 0.000 0.500
Ag1 0.176 0.676 0.500
Ag2 0.302 0.500 0.802
Ag3 0.698 0.500 0.198
Ag4 0.824 0.324 0.500

total moment	0.0000	μB/atom
formation energy from the elements	0.027	eV/atom